1.
{
  "formula": "MoO",
  "functional": "PBE+U",
  "state": "relaxed",
  "n_ef_per_ev_atom": 0.2328,
  "e_tot_ev_per_cell": -78.739,
  "e_above_lowest_polymorph_mev_per_atom": 148,
  "lattice": [[4.1548, 0.0000, 0.0000], [0.0000, 11.2142, 0.0000], [0.0000, 0.0000, 3.2867]],
  "species": ["Mo", "Mo", "Mo", "Mo", "Mo", "Mo", "O", "O", "O", "O", "O", "O"],
  "fractional_positions": [[0.2500, 0.0553, 0.1853], [0.2500, 0.4447, 0.1853], [0.2500, 0.7500, 0.4591], [0.7500, 0.2500, 0.5409], [0.7500, 0.5553, 0.8147], [0.7500, 0.9447, 0.8147], [0.2500, 0.2500, 0.4115], [0.2500, 0.6259, 0.9663], [0.2500, 0.8741, 0.9663], [0.7500, 0.1259, 0.0337], [0.7500, 0.3741, 0.0337], [0.7500, 0.7500, 0.5885]]
}


2.
{
  "formula": "Mo4O9",
  "functional": "PBE+U",
  "state": "relaxed",
  "n_ef_per_ev_atom": 0.1502,
  "e_tot_ev_per_cell": -93.142,
  "lattice": [[6.8023, 0.0000, 0.0000], [0.0000, 6.8023, 0.0000], [0.0000, 0.0000, 3.8460]],
  "species": ["Mo", "Mo", "Mo", "Mo", "O", "O", "O", "O", "O", "O", "O", "O", "O"],
  "fractional_positions": [[0.1269, 0.6963, 0.0000], [0.3037, 0.1269, 0.0000], [0.6963, 0.8731, 0.0000], [0.8731, 0.3037, 0.0000], [0.0000, 0.0000, 0.0000], [0.1313, 0.6982, 0.5000], [0.1622, 0.3939, 0.0000], [0.3018, 0.1313, 0.5000], [0.3939, 0.8378, 0.0000], [0.6061, 0.1622, 0.0000], [0.6982, 0.8687, 0.5000], [0.8378, 0.6061, 0.0000], [0.8687, 0.3018, 0.5000]]
}


3.
{
  "formula": "Mo4O11",
  "functional": "PBE+U",
  "state": "relaxed",
  "n_ef_per_ev_atom": 0.0377,
  "e_tot_ev_per_cell": -426.201,
  "lattice": [[6.9170, 0.0000, 0.0000], [0.0000, 5.6134, 0.0000], [-1.6170, 0.0000, 25.1645]],
  "species": ["Mo", "Mo", "Mo", "Mo", "Mo", "Mo", "Mo", "Mo", "Mo", "Mo", "Mo", "Mo", "Mo", "Mo", "Mo", "Mo", "O", "O", "O", "O", "O", "O", "O", "O", "O", "O", "O", "O", "O", "O", "O", "O", "O", "O", "O", "O", "O", "O", "O", "O", "O", "O", "O", "O", "O", "O", "O", "O", "O", "O", "O", "O", "O", "O", "O", "O", "O", "O", "O", "O"],
  "fractional_positions": [[0.0001, 0.2457, 0.1639], [0.0001, 0.2543, 0.6639], [0.9999, 0.7457, 0.3361], [0.9999, 0.7543, 0.8361], [0.3179, 0.2359, 0.0452], [0.3179, 0.2641, 0.5452], [0.3355, 0.2465, 0.3985], [0.3355, 0.2535, 0.8985], [0.3408, 0.7480, 0.2205], [0.3408, 0.7520, 0.7205], [0.6592, 0.2480, 0.2795], [0.6592, 0.2520, 0.7795], [0.6645, 0.7465, 0.1015], [0.6645, 0.7535, 0.6015], [0.6821, 0.7359, 0.4548], [0.6821, 0.7641, 0.9548], [0.1185, 0.2451, 0.0871], [0.1185, 0.2549, 0.5871], [0.1439, 0.5110, 0.6832], [0.1439, 0.9890, 0.1832], [0.1649, 0.0224, 0.6861], [0.1649, 0.4776, 0.1861], [0.1666, 0.7454, 0.7841], [0.1666, 0.7546, 0.2841], [0.1723, 0.0119, 0.3785], [0.1723, 0.4881, 0.8785], [0.1974, 0.5060, 0.3800], [0.1974, 0.9940, 0.8800], [0.2299, 0.2500, 0.4760], [0.2299, 0.2500, 0.9760], [0.4487, 0.5353, 0.5579], [0.4487, 0.9647, 0.0579], [0.4755, 0.0204, 0.5609], [0.4755, 0.4796, 0.0609], [0.4974, 0.2354, 0.3459], [0.4974, 0.2646, 0.8459], [0.4977, 0.0139, 0.2441], [0.4977, 0.4861, 0.7441], [0.5023, 0.5139, 0.2559], [0.5023, 0.9861, 0.7559], [0.5026, 0.7354, 0.1541], [0.5026, 0.7646, 0.6541], [0.5245, 0.5204, 0.9391], [0.5245, 0.9796, 0.4391], [0.5513, 0.0353, 0.9421], [0.5513, 0.4647, 0.4421], [0.7701, 0.7500, 0.0240], [0.7701, 0.7500, 0.5240], [0.8026, 0.0060, 0.1200], [0.8026, 0.4940, 0.6200], [0.8277, 0.5119, 0.1215], [0.8277, 0.9881, 0.6215], [0.8334, 0.2454, 0.7159], [0.8334, 0.2546, 0.2159], [0.8351, 0.5224, 0.8139], [0.8351, 0.9776, 0.3139], [0.8561, 0.0110, 0.8168], [0.8561, 0.4890, 0.3168], [0.8815, 0.7451, 0.4129], [0.8815, 0.7549, 0.9129]]
}


4.
{
  "formula": "MoO",
  "functional": "PBE+U",
  "state": "relaxed",
  "n_ef_per_ev_atom": 0.3543,
  "e_tot_ev_per_cell": -12.902,
  "e_above_lowest_polymorph_mev_per_atom": 259,
  "lattice": [[0.0000, 2.4242, 2.4242], [2.4242, 0.0000, 2.4242], [2.4242, 2.4242, 0.0000]],
  "species": ["Mo", "O"],
  "fractional_positions": [[0.0000, 0.0000, 0.0000], [0.2500, 0.2500, 0.2500]]
}


5.
{
  "formula": "MoO2",
  "functional": "PBE+U",
  "state": "relaxed",
  "n_ef_per_ev_atom": 0.0668,
  "e_tot_ev_per_cell": -20.885,
  "lattice": [[-1.3922, 2.5789, 2.4199], [1.3922, -2.5789, 2.4199], [1.3922, 2.5789, -2.4199]],
  "species": ["Mo", "O", "O"],
  "fractional_positions": [[0.0000, 0.0000, 0.0000], [0.4063, 0.6645, 0.7418], [0.9227, 0.6645, 0.2582]]
}


6.
{
  "formula": "MoO3",
  "functional": "PBE+U",
  "state": "relaxed",
  "n_ef_per_ev_atom": 0.4990,
  "e_tot_ev_per_cell": -145.808,
  "lattice": [[6.1414, 0.0000, 0.0000], [-3.0707, 5.3186, 0.0000], [0.0000, 0.0000, 11.2499]],
  "species": ["Mo", "Mo", "Mo", "Mo", "Mo", "Mo", "O", "O", "O", "O", "O", "O", "O", "O", "O", "O", "O", "O", "O", "O", "O", "O", "O", "O"],
  "fractional_positions": [[0.0000, 0.3383, 0.0000], [0.0000, 0.6617, 0.5000], [0.3383, 0.0000, 0.0000], [0.3383, 0.3383, 0.5000], [0.6617, 0.0000, 0.5000], [0.6617, 0.6617, 0.0000], [0.0000, 0.0000, 0.4689], [0.0000, 0.0000, 0.9689], [0.0000, 0.2603, 0.1519], [0.0000, 0.3353, 0.8420], [0.0000, 0.6647, 0.3420], [0.0000, 0.7397, 0.6519], [0.2603, 0.0000, 0.1519], [0.2603, 0.2603, 0.6519], [0.3333, 0.6667, 0.0125], [0.3333, 0.6667, 0.5125], [0.3353, 0.0000, 0.8420], [0.3353, 0.3353, 0.3420], [0.6647, 0.0000, 0.3420], [0.6647, 0.6647, 0.8420], [0.6667, 0.3333, 0.0125], [0.6667, 0.3333, 0.5125], [0.7397, 0.0000, 0.6519], [0.7397, 0.7397, 0.1519]]
}


7.
{
  "formula": "MoO2",
  "functional": "PBE+U",
  "state": "relaxed",
  "e_tot_ev_per_cell": -21.165,
  "lattice": [[1.4290, 0.8250, 5.5608], [-1.4290, 0.8250, 5.5608], [0.0000, -1.6500, 5.5608]],
  "species": ["Mo", "O", "O"],
  "fractional_positions": [[0.0000, 0.0000, 0.0000], [0.5924, 0.5924, 0.5924], [0.7409, 0.7409, 0.7409]]
}


8.
{
  "formula": "MoO3",
  "functional": "PBE+U",
  "state": "relaxed",
  "n_ef_per_ev_atom": 0.0000,
  "e_tot_ev_per_cell": -55.755,
  "lattice": [[5.0217, 0.0000, 0.0000], [-2.5109, 4.3490, 0.0000], [0.0000, 0.0000, 4.6983]],
  "species": ["Mo", "Mo", "O", "O", "O", "O", "O", "O"],
  "fractional_positions": [[0.3333, 0.6667, 0.0000], [0.6667, 0.3333, 0.5000], [0.0008, 0.6246, 0.1841], [0.3754, 0.3762, 0.1841], [0.3762, 0.0008, 0.6841], [0.6238, 0.9992, 0.1841], [0.6246, 0.6238, 0.6841], [0.9992, 0.3754, 0.6841]]
}


9.
{
  "formula": "MoO2",
  "functional": "PBE+U",
  "state": "relaxed",
  "e_tot_ev_per_cell": -86.175,
  "lattice": [[-3.1003, 3.1003, 4.7906], [3.1003, -3.1003, 4.7906], [3.1003, 3.1003, -4.7906]],
  "species": ["Mo", "Mo", "Mo", "Mo", "O", "O", "O", "O", "O", "O", "O", "O"],
  "fractional_positions": [[0.0000, 0.0000, 0.0000], [0.0000, 0.0000, 0.5000], [0.0000, 0.5000, 0.0000], [0.5000, 0.0000, 0.5000], [0.1894, 0.2231, 0.9663], [0.2231, 0.1894, 0.4663], [0.2231, 0.7568, 0.0337], [0.2432, 0.7769, 0.4663], [0.7568, 0.2231, 0.5337], [0.7769, 0.2432, 0.9663], [0.7769, 0.8106, 0.5337], [0.8106, 0.7769, 0.0337]]
}


10.
{
  "formula": "Mo9O26",
  "functional": "PBE+U",
  "state": "relaxed",
  "e_tot_ev_per_cell": -494.326,
  "lattice": [[14.9111, 0.0000, 0.0000], [0.0000, 4.1005, 0.0000], [-1.5482, 0.0000, 17.1869]],
  "species": ["Mo", "Mo", "Mo", "Mo", "Mo", "Mo", "Mo", "Mo", "Mo", "Mo", "Mo", "Mo", "Mo", "Mo", "Mo", "Mo", "Mo", "Mo", "O", "O", "O", "O", "O", "O", "O", "O", "O", "O", "O", "O", "O", "O", "O", "O", "O", "O", "O", "O", "O", "O", "O", "O", "O", "O", "O", "O", "O", "O", "O", "O", "O", "O", "O", "O", "O", "O", "O", "O", "O", "O", "O", "O", "O", "O", "O", "O", "O", "O", "O", "O"],
  "fractional_positions": [[0.0000, 0.0720, 0.2500], [0.0000, 0.9280, 0.7500], [0.1125, 0.0722, 0.9578], [0.1125, 0.9278, 0.4578], [0.2240, 0.0850, 0.6628], [0.2240, 0.9150, 0.1628], [0.3352, 0.0806, 0.3681], [0.3352, 0.9194, 0.8681], [0.4534, 0.0882, 0.5820], [0.4534, 0.9118, 0.0820], [0.5466, 0.0882, 0.9180], [0.5466, 0.9118, 0.4180], [0.6648, 0.0806, 0.1319], [0.6648, 0.9194, 0.6319], [0.7760, 0.0850, 0.8372], [0.7760, 0.9150, 0.3372], [0.8875, 0.0722, 0.5422], [0.8875, 0.9278, 0.0422], [0.0000, 0.0000, 0.0000], [0.0000, 0.0000, 0.5000], [0.0000, 0.4962, 0.2500], [0.0000, 0.5038, 0.7500], [0.0631, 0.0032, 0.3546], [0.0631, 0.9968, 0.8546], [0.1096, 0.0068, 0.7058], [0.1096, 0.9932, 0.2058], [0.1145, 0.4965, 0.9571], [0.1145, 0.5035, 0.4571], [0.1706, 0.0020, 0.5586], [0.1706, 0.9980, 0.0586], [0.2288, 0.4911, 0.1650], [0.2288, 0.5089, 0.6650], [0.2356, 0.0032, 0.4209], [0.2356, 0.9968, 0.9209], [0.2861, 0.0106, 0.2696], [0.2861, 0.9894, 0.7696], [0.3402, 0.4946, 0.8714], [0.3402, 0.5054, 0.3714], [0.3468, 0.0121, 0.6216], [0.3468, 0.9879, 0.1216], [0.4220, 0.0011, 0.4698], [0.4220, 0.9989, 0.9698], [0.4537, 0.4870, 0.0780], [0.4537, 0.5130, 0.5780], [0.4605, 0.0115, 0.8349], [0.4605, 0.9885, 0.3349], [0.5395, 0.0115, 0.6651], [0.5395, 0.9885, 0.1651], [0.5463, 0.4870, 0.4220], [0.5463, 0.5130, 0.9220], [0.5780, 0.0011, 0.0302], [0.5780, 0.9989, 0.5302], [0.6532, 0.0121, 0.8784], [0.6532, 0.9879, 0.3784], [0.6598, 0.4946, 0.6286], [0.6598, 0.5054, 0.1286], [0.7139, 0.0106, 0.2304], [0.7139, 0.9894, 0.7304], [0.7644, 0.0032, 0.0791], [0.7644, 0.9968, 0.5791], [0.7712, 0.4911, 0.3350], [0.7712, 0.5089, 0.8350], [0.8294, 0.0020, 0.9414], [0.8294, 0.9980, 0.4414], [0.8855, 0.4965, 0.5429], [0.8855, 0.5035, 0.0429], [0.8904, 0.0068, 0.7942], [0.8904, 0.9932, 0.2942], [0.9369, 0.0032, 0.1454], [0.9369, 0.9968, 0.6454]]
}


11.
{
  "formula": "MoO2",
  "functional": "PBE+U",
  "state": "relaxed",
  "e_tot_ev_per_cell": -43.190,
  "lattice": [[1.5574, -2.8723, 0.0000], [1.5574, 2.8723, 0.0000], [0.0000, 0.0000, 11.0279]],
  "species": ["Mo", "Mo", "O", "O", "O", "O"],
  "fractional_positions": [[0.0000, 0.0000, 0.0000], [0.0000, 0.0000, 0.5000], [0.3349, 0.6651, 0.5872], [0.3349, 0.6651, 0.9128], [0.6651, 0.3349, 0.0872], [0.6651, 0.3349, 0.4128]]
}


12.
{
  "formula": "MoO3",
  "functional": "PBE+U",
  "state": "relaxed",
  "e_tot_ev_per_cell": -111.707,
  "lattice": [[9.9166, 0.0000, 0.0000], [0.0000, 5.2688, 0.0000], [-1.2286, 0.0000, 5.1111]],
  "species": ["Mo", "Mo", "Mo", "Mo", "O", "O", "O", "O", "O", "O", "O", "O", "O", "O", "O", "O"],
  "fractional_positions": [[0.0000, 0.2460, 0.0000], [0.0000, 0.7540, 0.5000], [0.5321, 0.2468, 0.7779], [0.5321, 0.7532, 0.2779], [0.1770, 0.2453, 0.0756], [0.1770, 0.7547, 0.5756], [0.4857, 0.4711, 0.0169], [0.4857, 0.5289, 0.5169], [0.4871, 0.0393, 0.4522], [0.4871, 0.9607, 0.9522], [0.7092, 0.2494, 0.8554], [0.7092, 0.7506, 0.3554], [0.9567, 0.0464, 0.6707], [0.9567, 0.9536, 0.1707], [0.9580, 0.4621, 0.2534], [0.9580, 0.5379, 0.7534]]
}


13.
{
  "formula": "MoO",
  "functional": "PBE+U",
  "state": "relaxed",
  "n_ef_per_ev_atom": 0.6556,
  "e_tot_ev_per_cell": -50.363,
  "e_above_lowest_polymorph_mev_per_atom": 415,
  "lattice": [[-3.3454, 3.3454, 3.3454], [3.3454, -3.3454, 3.3454], [3.3454, 3.3454, -3.3454]],
  "species": ["Mo", "Mo", "Mo", "Mo", "O", "O", "O", "O"],
  "fractional_positions": [[0.0000, 0.0000, 0.3778], [0.0000, 0.3778, 0.0000], [0.3778, 0.0000, 0.0000], [0.6222, 0.6222, 0.6222], [0.0000, 0.0000, 0.7229], [0.0000, 0.7229, 0.0000], [0.2771, 0.2771, 0.2771], [0.7229, 0.0000, 0.0000]]
}


14.
{
  "formula": "Mo3O10",
  "functional": "PBE+U",
  "state": "relaxed",
  "n_ef_per_ev_atom": 0.0262,
  "e_tot_ev_per_cell": -172.378,
  "e_above_lowest_polymorph_mev_per_atom": 44,
  "lattice": [[7.3486, 0.0000, 0.0000], [0.0000, 4.0734, 6.7115], [0.0000, -4.0734, 6.7115]],
  "species": ["Mo", "Mo", "Mo", "Mo", "Mo", "Mo", "O", "O", "O", "O", "O", "O", "O", "O", "O", "O", "O", "O", "O", "O", "O", "O", "O", "O", "O", "O"],
  "fractional_positions": [[0.0000, 0.0000, 0.0000], [0.2453, 0.7837, 0.6961], [0.2547, 0.2837, 0.1961], [0.5000, 0.5000, 0.5000], [0.7453, 0.1961, 0.2837], [0.7547, 0.6961, 0.7837], [0.0000, 0.2581, 0.2581], [0.0000, 0.6977, 0.6977], [0.0081, 0.1638, 0.7356], [0.1844, 0.0809, 0.0963], [0.1911, 0.8964, 0.8446], [0.2480, 0.4845, 0.9700], [0.2520, 0.9845, 0.4700], [0.3089, 0.3964, 0.3446], [0.3156, 0.5809, 0.5963], [0.4919, 0.6638, 0.2356], [0.5000, 0.1977, 0.1977], [0.5000, 0.7581, 0.7581], [0.5081, 0.2356, 0.6638], [0.6844, 0.5963, 0.5809], [0.6911, 0.3446, 0.3964], [0.7480, 0.4700, 0.9845], [0.7520, 0.9700, 0.4845], [0.8089, 0.8446, 0.8964], [0.8156, 0.0963, 0.0809], [0.9919, 0.7356, 0.1638]]
}


15.
{
  "formula": "MoO2",
  "functional": "PBE+U",
  "state": "relaxed",
  "n_ef_per_ev_atom": 0.1621,
  "e_tot_ev_per_cell": -85.704,
  "lattice": [[1.5928, -5.0320, 0.0000], [1.5928, 5.0320, 0.0000], [0.0000, 0.0000, 10.5313]],
  "species": ["Mo", "Mo", "Mo", "Mo", "O", "O", "O", "O", "O", "O", "O", "O"],
  "fractional_positions": [[0.1333, 0.8667, 0.5752], [0.1333, 0.8667, 0.9248], [0.8667, 0.1333, 0.0752], [0.8667, 0.1333, 0.4248], [0.0816, 0.9184, 0.7500], [0.2393, 0.7607, 0.0972], [0.2393, 0.7607, 0.4028], [0.5000, 0.5000, 0.0000], [0.5000, 0.5000, 0.5000], [0.7607, 0.2393, 0.5972], [0.7607, 0.2393, 0.9028], [0.9184, 0.0816, 0.2500]]
}